1.
# TiHgRh2Br

A PBEsol-optimized structure of TiHgRh2Br (SCAN, Alexandria via LeMat-Bulk).

Calculated values
For the density of states at the Fermi level, the calculation gives 1.08 states/eV/atom. Its total DFT energy (no corrections) is -33.59 eV/atom. For the uncorrected formation energy, the calculation gives 0.652 eV per atom. The value obtained for the volume is 18.86 Å³ per atom. The value obtained for the size of the total moment is 0.00 μB/f.u. The crystal system is tetragonal.

Unit cell a=4.529 b=4.563 c=4.563 alpha=90.00 beta=90.00 gamma=90.00
Atoms (fractional coordinates):
Rh: 0.000 0.000 0.500
Rh: 0.000 0.500 0.000
Hg: 0.500 0.500 0.500
Br: 0.000 0.000 0.000
Ti: 0.500 0.000 0.000

2.
# HgRu2Br

A PBEsol-optimized structure of HgRu2Br (SCAN, Alexandria via LeMat-Bulk).

Calculated values
The value obtained for the distance to the lowest polymorph of the same formula is 0.1257 eV per atom. For the density of states at the Fermi level, the calculation gives 0.92 states/eV/atom. Its total DFT energy (no corrections) is -38.15 eV/atom. For the uncorrected formation energy, the calculation gives 1.171 eV per atom. The value obtained for the volume is 16.73 Å³ per atom. The value obtained for the size of the total moment is 3.14 μB/f.u. The crystal system is tetragonal.

Unit cell a=4.085 b=4.085 c=4.943 alpha=114.40 beta=114.40 gamma=90.00
Atoms (fractional coordinates):
Ru: 0.000 0.000 0.000
Ru: 0.750 0.250 0.500
Hg: 0.250 0.750 0.500
Br: 0.500 0.500 0.000

3.
# HgRuBr

A PBEsol-optimized structure of HgRuBr (SCAN, Alexandria via LeMat-Bulk).

Calculated values
The value obtained for the distance to the lowest polymorph of the same formula is 0.0000 eV per atom. For the density of states at the Fermi level, the calculation gives 0.73 states/eV/atom. Its total DFT energy (no corrections) is -40.18 eV/atom. For the uncorrected formation energy, the calculation gives 0.641 eV per atom. The value obtained for the volume is 19.62 Å³ per atom. The value obtained for the size of the total moment is 0.00 μB/f.u. The crystal system is orthorhombic.

Unit cell a=3.004 b=3.138 c=7.268 alpha=84.32 beta=78.07 gamma=61.40
Atoms (fractional coordinates):
Ru: 0.658 0.000 0.685
Hg: 0.319 0.000 0.362
Br: 0.023 0.000 0.954